No. 1
Here is a geometry-optimized HfScTc4 structure from Alexandria via LeMat-Bulk. Energies are from PBE.

Geometry as CIF:
```
data_HfScTc4
_chemical_formula_sum 'Hf4 Sc4 Tc16'
_cell_length_a 7.422
_cell_length_b 7.422
_cell_length_c 7.422
_cell_angle_alpha 90.00
_cell_angle_beta 90.00
_cell_angle_gamma 90.00
_space_group_name_H-M_alt 'F -4 3 m'
_space_group_IT_number 216
_space_group_name_Hall 'F -4 2 3'
loop_
_atom_site_label
_atom_site_fract_x
_atom_site_fract_y
_atom_site_fract_z
_atom_site_occupancy
Hf1 0.000 0.000 0.000 1
Sc1 0.250 0.250 0.250 1
Tc1 0.125 0.125 0.625 1
```

Energy of formation = -292.8 meV/atom

---

No. 2
Here is a geometry-optimized Sm3AlIr3 structure from Alexandria via LeMat-Bulk. Energies are from PBE.

Geometry as CIF:
```
data_Sm3AlIr3
_chemical_formula_sum 'Sm12 Al4 Ir12'
_cell_length_a 4.139
_cell_length_b 10.539
_cell_length_c 13.969
_cell_angle_alpha 90.00
_cell_angle_beta 90.00
_cell_angle_gamma 90.00
_space_group_name_H-M_alt 'C m c m'
_space_group_IT_number 63
_space_group_name_Hall '-C 2c 2'
loop_
_atom_site_label
_atom_site_fract_x
_atom_site_fract_y
_atom_site_fract_z
_atom_site_occupancy
Sm1 0.000 0.012 0.250 1
Sm2 0.000 0.292 0.107 1
Al1 0.000 0.000 0.000 1
Ir1 0.000 0.273 0.750 1
Ir2 0.000 0.420 0.588 1
```

Energy of formation = -806.8 meV/atom

---

No. 3
Here is a geometry-optimized ZnCo2HPd structure from Alexandria via LeMat-Bulk. Energies are from PBE.

Geometry as CIF:
```
data_ZnCo2HPd
_chemical_formula_sum 'Zn1 Co2 H1 Pd1'
_cell_length_a 3.638
_cell_length_b 3.638
_cell_length_c 4.030
_cell_angle_alpha 90.00
_cell_angle_beta 90.00
_cell_angle_gamma 90.00
_space_group_name_H-M_alt 'P 4/m m m'
_space_group_IT_number 123
_space_group_name_Hall '-P 4 2'
loop_
_atom_site_label
_atom_site_fract_x
_atom_site_fract_y
_atom_site_fract_z
_atom_site_occupancy
Zn1 0.000 0.000 0.000 1
Co1 0.000 0.500 0.500 1
H1 0.500 0.500 0.500 1
Pd1 0.500 0.500 0.000 1
```

Offset from the most stable computed form = 0 meV per atom

---

No. 4
Here is a geometry-optimized Ce5CdGa4 structure from Alexandria via LeMat-Bulk. Energies are from PBE.

Geometry as CIF:
```
data_Ce5CdGa4
_chemical_formula_sum 'Ce5 Cd1 Ga4'
_cell_length_a 3.235
_cell_length_b 3.235
_cell_length_c 22.143
_cell_angle_alpha 90.00
_cell_angle_beta 90.00
_cell_angle_gamma 90.00
_space_group_name_H-M_alt 'P 4/m m m'
_space_group_IT_number 123
_space_group_name_Hall '-P 4 2'
loop_
_atom_site_label
_atom_site_fract_x
_atom_site_fract_y
_atom_site_fract_z
_atom_site_occupancy
Ce1 0.000 0.000 0.000 1
Ce2 0.000 0.000 0.195 1
Ce3 0.000 0.000 0.388 1
Cd1 0.500 0.500 0.500 1
Ga1 0.500 0.500 0.097 1
Ga2 0.500 0.500 0.293 1
```

Energy of formation = -433.1 meV/atom

---

No. 5
Here is a geometry-optimized CdBRh3 structure from Alexandria via LeMat-Bulk. Energies are from PBE.

Geometry as CIF:
```
data_CdBRh3
_chemical_formula_sum 'Cd4 B4 Rh12'
_cell_length_a 4.702
_cell_length_b 5.855
_cell_length_c 10.654
_cell_angle_alpha 90.00
_cell_angle_beta 90.00
_cell_angle_gamma 90.00
_space_group_name_H-M_alt 'I m m a'
_space_group_IT_number 74
_space_group_name_Hall '-I 2b 2'
loop_
_atom_site_label
_atom_site_fract_x
_atom_site_fract_y
_atom_site_fract_z
_atom_site_occupancy
Cd1 0.000 0.250 0.128 1
B1 0.000 0.250 0.495 1
Rh1 0.000 0.012 0.634 1
Rh2 0.000 0.250 0.853 1
```

Offset from the most stable computed form = 195 meV per atom
Energy of formation = -15.5 meV/atom

---

No. 6
Here is a geometry-optimized Cu3TePbO8 structure from Alexandria via LeMat-Bulk. Energies are from PBE.

Geometry as CIF:
```
data_Cu3TePbO8
_chemical_formula_sum 'Cu24 Te8 Pb8 O64'
_cell_length_a 5.768
_cell_length_b 9.781
_cell_length_c 25.482
_cell_angle_alpha 90.00
_cell_angle_beta 90.00
_cell_angle_gamma 90.00
_space_group_name_H-M_alt 'F d d 2'
_space_group_IT_number 43
_space_group_name_Hall 'F 2 -2d'
loop_
_atom_site_label
_atom_site_fract_x
_atom_site_fract_y
_atom_site_fract_z
_atom_site_occupancy
Cu1 0.000 0.000 0.000 1
Cu2 0.000 0.000 0.190 1
Cu3 0.000 0.000 0.749 1
Te1 0.000 0.000 0.442 1
Pb1 0.000 0.000 0.587 1
O1 0.061 0.353 0.199 1
O2 0.081 0.363 0.296 1
O3 0.106 0.129 0.390 1
O4 0.122 0.379 0.742 1
```

Energy relative to the elements, uncorrected = -0.68 eV/atom

---

No. 7
Here is a geometry-optimized KMg2TcOs structure from Alexandria via LeMat-Bulk. Energies are from PBE.

Geometry as CIF:
```
data_KMg2TcOs
_chemical_formula_sum 'K1 Mg2 Tc1 Os1'
_cell_length_a 5.053
_cell_length_b 5.053
_cell_length_c 5.054
_cell_angle_alpha 90.00
_cell_angle_beta 90.00
_cell_angle_gamma 90.00
_space_group_name_H-M_alt 'P 4/m m m'
_space_group_IT_number 123
_space_group_name_Hall '-P 4 2'
loop_
_atom_site_label
_atom_site_fract_x
_atom_site_fract_y
_atom_site_fract_z
_atom_site_occupancy
K1 0.000 0.000 0.000 1
Mg1 0.000 0.500 0.500 1
Tc1 0.000 0.000 0.500 1
Os1 0.500 0.500 0.000 1
```

Energy of formation = 2061.3 meV/atom

---

No. 8
Here is a geometry-optimized Ho2ErPt structure from Alexandria via LeMat-Bulk. Energies are from PBE.

Geometry as CIF:
```
data_Ho2ErPt
_chemical_formula_sum 'Ho6 Er3 Pt3'
_cell_length_a 3.6707
_cell_length_b 3.6707
_cell_length_c 31.4299
_cell_angle_alpha 90.00
_cell_angle_beta 90.00
_cell_angle_gamma 120.00
_space_group_name_H-M_alt 'R -3 m'
_space_group_IT_number 166
_space_group_name_Hall '-R 3 2"'
loop_
_atom_site_label
_atom_site_fract_x
_atom_site_fract_y
_atom_site_fract_z
_atom_site_occupancy
Ho1 0.0000 0.0000 0.1092 1
Er1 0.0000 0.0000 0.0000 1
Pt1 0.0000 0.0000 0.5000 1
```

Offset from the most stable computed form = 439 meV per atom
Energy of formation = -292.2 meV/atom

---

No. 9
Here is a geometry-optimized Pr2YRh2 structure from Alexandria via LeMat-Bulk. Energies are from PBE.

Geometry as CIF:
```
data_Pr2YRh2
_chemical_formula_sum 'Pr8 Y4 Rh8'
_cell_length_a 13.181
_cell_length_b 3.916
_cell_length_c 11.505
_cell_angle_alpha 90.00
_cell_angle_beta 119.61
_cell_angle_gamma 90.00
_space_group_name_H-M_alt 'C 1 2/m 1'
_space_group_IT_number 12
loop_
_space_group_symop_operation_xyz
'x,y,z'
'-x,-y,-z'
'-x,y,-z'
'x,-y,z'
'x+1/2,y+1/2,z'
'-x+1/2,-y+1/2,-z'
'-x+1/2,y+1/2,-z'
'x+1/2,-y+1/2,z'
loop_
_atom_site_label
_atom_site_fract_x
_atom_site_fract_y
_atom_site_fract_z
_atom_site_occupancy
Pr1 0.042 0.000 0.191 1
Pr2 0.159 0.000 0.573 1
Y1 0.207 0.500 0.862 1
Rh1 0.008 0.500 0.377 1
Rh2 0.122 0.500 0.053 1
```

Offset from the most stable computed form = 0 meV per atom
Energy of formation = -595.1 meV/atom

---

Number 1: spin magnetization 0.0 μB/f.u.. Number 2: spin magnetization 0.0 μB/f.u.. Number 3: spin magnetization 2.8 μB/f.u.. Number 4: spin magnetization 0.4 μB/f.u.. Number 5: spin magnetization 0.0 μB/f.u.. Number 6: spin magnetization 0.4 μB/f.u.. Number 7: spin magnetization 3.9 μB/f.u.. Number 8: spin magnetization 0.0 μB/f.u.. Number 9: spin magnetization 0.0 μB/f.u..